Record 1
A plane-wave DFT calculation with GGA-PBE was carried out for an optimized crystal structure of BaRh4W.

Properties
- calculated formation energy (meV/atom) = 513
- total moment (μB per formula unit) = 0.5
- volume (Å³ per cell) = 107
- uncorrected energy (eV per atom) = -6.867
- SG = F-43m (216)

a b c (Å): 5.3323 5.3323 5.3323
angles (deg): 60.00 60.00 60.00
Each line ends with the local moment (μB).
Element x y z (fractional)
Rh (0.8734, 0.3755, 0.3755)  0.00
Rh (0.3755, 0.8734, 0.3755)  0.00
Rh (0.3755, 0.3755, 0.8734)  0.00
Rh (0.3755, 0.3755, 0.3755)  0.00
W (0.7500, 0.7500, 0.7500)  0.37
Ba (0.0000, 0.0000, 0.0000)  0.02

=====

Record 2
A plane-wave DFT calculation with GGA-PBE was carried out for an optimized crystal structure of Mg2AsPt.

Properties
- calculated formation energy (meV/atom) = -414
- total moment (μB per formula unit) = 0.0
- volume (Å³ per cell) = 74
- uncorrected energy (eV per atom) = -3.884
- SG = C2/m (12)

a b c (Å): 4.2661 4.2661 6.3184
angles (deg): 80.42 80.42 41.15
Element x y z (fractional)
As (0.2500, 0.2500, 0.2500)
Pt (0.7500, 0.7500, 0.7500)
Mg (0.0007, 0.0007, 0.9856)
Mg (0.4993, 0.4993, 0.5144)

=====

Record 3
A plane-wave DFT calculation with GGA-PBE was carried out for an optimized crystal structure of NaLi2Pb5.

Properties
- calculated formation energy (meV/atom) = -121
- total moment (μB per formula unit) = 0.0
- volume (Å³ per cell) = 218
- uncorrected energy (eV per atom) = -3.082
- SG = I4mm (107)

a b c (Å): 6.5743 6.5738 6.5735
angles (deg): 107.50 107.50 113.50
Element x y z (fractional)
Pb (0.7778, 0.2782, 0.0000)
Pb (0.2783, 0.7773, 0.0000)
Pb (0.7774, 0.7777, 0.4993)
Pb (0.2781, 0.2784, 0.5007)
Pb (0.2775, 0.2771, 0.0000)
Na (0.7785, 0.7783, 0.0000)
Li (0.7777, 0.2780, 0.4999)
Li (0.2778, 0.7781, 0.5001)

=====

Record 4
A plane-wave DFT calculation with GGA-PBE was carried out for an optimized crystal structure of AcIn2Rh.

Properties
- calculated formation energy (meV/atom) = -319
- total moment (μB per formula unit) = 0.0
- volume (Å³ per cell) = 97
- uncorrected energy (eV per atom) = -4.554
- SG = P4/mmm (123)

a b c (Å): 3.5164 3.5164 7.8701
angles (deg): 90.00 90.00 90.00
Element x y z (fractional)
Rh (0.5000, 0.5000, 0.0000)
In (0.0000, 0.0000, 0.1859)
In (0.0000, 0.0000, 0.8141)
Ac (0.5000, 0.5000, 0.5000)

=====

Record 5
A plane-wave DFT calculation with GGA-PBE was carried out for an optimized crystal structure of Li3In2Pb2.

Properties
- calculated formation energy (meV/atom) = -187
- total moment (μB per formula unit) = 0.0
- volume (Å³ per cell) = 160
- uncorrected energy (eV per atom) = -2.850
- SG = P-1 (2)

a b c (Å): 4.8626 7.3488 5.0520
angles (deg): 71.65 91.04 109.84
Element x y z (fractional)
Pb (0.3750, 0.7543, 0.1822)
Pb (0.6250, 0.2457, 0.8178)
In (0.1025, 0.2348, 0.3924)
In (0.8975, 0.7652, 0.6076)
Li (0.7459, 0.5064, 0.1988)
Li (0.2541, 0.4936, 0.8012)
Li (0.0000, 0.0000, 0.0000)

=====

Record 6
A plane-wave DFT calculation with GGA-PBE was carried out for an optimized crystal structure of AcPrMgAu.

Properties
- calculated formation energy (meV/atom) = -335
- total moment (μB per formula unit) = 0.0
- volume (Å³ per cell) = 120
- uncorrected energy (eV per atom) = -3.775
- SG = F-43m (216)

a b c (Å): 5.5389 5.5389 5.5389
angles (deg): 60.00 60.00 60.00
Element x y z (fractional)
Ac (0.2500, 0.2500, 0.2500)
Mg (0.0000, 0.0000, 0.0000)
Au (0.5000, 0.5000, 0.5000)
Pr (0.7500, 0.7500, 0.7500)

=====

Record 7
A plane-wave DFT calculation with GGA-PBE was carried out for an optimized crystal structure of Er2Sc3Cu4.

Properties
- calculated formation energy (meV/atom) = -206
- total moment (μB per formula unit) = 0.0
- volume (Å³ per cell) = 362
- uncorrected energy (eV per atom) = -5.151
- SG = P2_1/c (14)

a b c (Å): 7.7264 7.0729 7.0052
angles (deg): 90.00 90.00 108.79
Element x y z (fractional)
Cu (0.3827, 0.5134, 0.3726)
Cu (0.1173, 0.4866, 0.8726)
Cu (0.1156, 0.9068, 0.4534)
Cu (0.3844, 0.0932, 0.9534)
Cu (0.6156, 0.9068, 0.0466)
Cu (0.8827, 0.5134, 0.1274)
Cu (0.8844, 0.0932, 0.5466)
Cu (0.6173, 0.4866, 0.6274)
Sc (0.2499, 0.2416, 0.6545)
Sc (0.0000, 0.5000, 0.5000)
Sc (0.7499, 0.2416, 0.8455)
Sc (0.2501, 0.7584, 0.1545)
Sc (0.7501, 0.7584, 0.3455)
Sc (0.5000, 0.5000, 0.0000)
Er (0.9147, 0.8078, 0.8324)
Er (0.5853, 0.1922, 0.3324)
Er (0.4147, 0.8078, 0.6676)
Er (0.0853, 0.1922, 0.1676)

=====

Record 8
A plane-wave DFT calculation with GGA-PBE was carried out for an optimized crystal structure of SmDyTlZn.

Properties
- calculated formation energy (meV/atom) = -353
- total moment (μB per formula unit) = 0.0
- volume (Å³ per cell) = 103
- uncorrected energy (eV per atom) = -3.593
- SG = P4mm (99)

a b c (Å): 3.6984 3.6984 7.5236
angles (deg): 90.00 90.00 90.00
Element x y z (fractional)
Tl (0.5000, 0.5000, 0.1153)
Sm (0.0000, 0.0000, 0.8358)
Zn (0.5000, 0.5000, 0.5973)
Dy (0.0000, 0.0000, 0.3796)

=====

Record 9
A plane-wave DFT calculation with GGA-PBE was carried out for an optimized crystal structure of CsFe2GeI8.

Properties
- total moment (μB per formula unit) = 9.0
- volume (Å³ per cell) = 553
- uncorrected energy (eV per atom) = -3.318
- SG = C2/m (12)

a b c (Å): 7.3727 7.3727 11.0642
angles (deg): 82.71 82.71 68.60
Each line ends with the local moment (μB).
Element x y z (fractional)
I (0.2760, 0.7704, 0.7987)  0.12
I (0.7240, 0.2296, 0.2013)  0.12
I (0.3172, 0.3172, 0.5893)  0.15
I (0.6828, 0.6828, 0.4107)  0.15
I (0.2481, 0.2481, 0.9910)  0.15
I (0.2296, 0.7240, 0.2013)  0.12
I (0.7519, 0.7519, 0.0090)  0.15
I (0.7704, 0.2760, 0.7987)  0.12
Cs (0.0000, 0.0000, 0.5000)  0.00
Fe (0.3905, 0.3905, 0.7932)  3.41
Fe (0.6095, 0.6095, 0.2068)  3.41
Ge (0.0000, 0.0000, 0.0000)  0.03

=====

Record 10
A plane-wave DFT calculation with GGA-PBE was carried out for an optimized crystal structure of CsAs2Br8.

Properties
- total moment (μB per formula unit) = 1.0
- volume (Å³ per cell) = 583
- uncorrected energy (eV per atom) = -2.688
- SG = P-3m1 (164)

a b c (Å): 7.9318 9.2159 9.2159
angles (deg): 120.00 90.00 90.00
Each line ends with the local moment (μB).
Element x y z (fractional)
Br (0.8372, 0.3333, 0.6667)  0.05
Br (0.7928, 0.8195, 0.1805)  0.09
Br (0.7928, 0.3609, 0.1805)  0.09
Br (0.2072, 0.6391, 0.8195)  0.09
Br (0.1628, 0.6667, 0.3333)  0.05
Br (0.7928, 0.8195, 0.6391)  0.09
Br (0.2072, 0.1805, 0.3609)  0.09
Br (0.2072, 0.1805, 0.8195)  0.09
As (0.8631, 0.6667, 0.3333)  0.05
As (0.1369, 0.3333, 0.6667)  0.05
Cs (0.5000, 0.0000, 0.0000)  0.01